First-principles (GGA-PBE) data for an optimized crystal structure of Sr2GaCu, as listed in the Alexandria database.

Results
Density of states at the Fermi level   3.17 states/eV/f.u.
Total magnetization   0.000 μB/atom
E_form   -0.2541 eV per atom
Volume   404 Å³/cell

Cell: 4.4347 4.4347 23.6879 Å, 90.00 90.00 120.00°
Last column: nearest neighbours and their distance in Å.
Space group R3m (No. 160, hexagonal axes)
Asymmetric unit:
Sr  0.0000  0.0000  0.0000 (multiplicity 3)  3 Cu 3.26, 3 Ga 3.26
Sr  0.0000  0.0000  0.1701 (multiplicity 3)  3 Ga 3.26, 3 Cu 3.26
Ga  0.0000  0.0000  0.7516 (multiplicity 3)  3 Cu 2.56
Cu  0.0000  0.0000  0.4182 (multiplicity 3)  3 Ga 2.56

***

First-principles (GGA-PBE) data for an optimized crystal structure of AcEr4Se5, as listed in the Alexandria database.

Results
Density of states at the Fermi level   5.69 states/eV/f.u.
Total magnetization   0.000 μB/atom
E_form (uncorrected)   -1.68 eV/atom
Volume   499 Å³/cell

Cell: 4.0749 5.8826 20.8226 Å, 90.00 90.00 90.00°
Last column: nearest neighbours and their distance in Å.
Space group Immm (No. 71)
Asymmetric unit:
Ac  0.0000  0.0000  0.0000 (multiplicity 2)  6 Se 2.94-3.10
Er  0.0000  0.0000  0.2064 (multiplicity 4)  6 Se 2.83-2.95
Er  0.0000  0.0000  0.4009 (multiplicity 4)  6 Se 2.88-2.95
Se  0.0000  0.5000  0.0000 (multiplicity 2)  4 Er 2.90, 2 Ac 2.94
Se  0.0000  0.5000  0.1970 (multiplicity 4)  6 Er 2.86-2.95
Se  0.0000  0.5000  0.3877 (multiplicity 4)  4 Er 2.83-2.95, 2 Ac 3.10

***

First-principles (GGA-PBE) data for an optimized crystal structure of SrTaPb2, as listed in the Alexandria database.

Results
Density of states at the Fermi level   3.02 states/eV/f.u.
Total magnetization   0.002 μB/atom
E_form   0.4460 eV per atom
Volume   212 Å³/cell

Cell: 6.9178 9.1669 3.3389 Å, 90.00 90.00 90.00°
Last column: nearest neighbours and their distance in Å.
Space group Cmmm (No. 65)
Asymmetric unit:
Sr  0.0000  0.0000  0.0000 (multiplicity 2)  8 Pb 3.32, 2 Sr 3.34, 2 Ta 3.46
Ta  0.0000  0.5000  0.0000 (multiplicity 2)  8 Pb 3.32, 2 Ta 3.34, 2 Sr 3.46
Pb  0.2500  0.2500  0.5000 (multiplicity 4)  4 Ta 3.32, 4 Sr 3.32, 4 Pb 3.34-3.46

***

First-principles (GGA-PBE) data for an optimized crystal structure of HgAsBr2, as listed in the Alexandria database.

Results
Density of states at the Fermi level   3.73 states/eV/f.u.
Total magnetization   0.143 μB/atom
E_form (uncorrected)   0.41 eV/atom
Energy relative to the lowest polymorph listed for this composition   0.540 eV/atom
Volume   403 Å³/cell

Cell: 7.3847 7.3847 7.3847 Å, 90.00 90.00 90.00°
Last column: nearest neighbours and their distance in Å.
Space group Fm-3m (No. 225)
Asymmetric unit:
Hg  0.0000  0.0000  0.0000 (multiplicity 4)  8 Br 3.20
As  0.0000  0.0000  0.5000 (multiplicity 4)  8 Br 3.20
Br  0.2500  0.2500  0.2500 (multiplicity 8)  4 Hg 3.20, 4 As 3.20

***

First-principles (GGA-PBE) data for an optimized crystal structure of Na2PdPt, as listed in the Alexandria database.

Results
Density of states at the Fermi level   2.38 states/eV/f.u.
Total magnetization   0.000 μB/atom
E_form   -0.1367 eV per atom
Energy relative to the lowest polymorph listed for this composition   0.000 eV/atom
Volume   317 Å³/cell

Cell: 8.8752 6.8174 5.2337 Å, 90.00 90.00 90.00°
Last column: nearest neighbours and their distance in Å.
Space group Cmcm (No. 63)
Asymmetric unit:
Na  0.1927  0.1746  0.2500 (multiplicity 8)  4 Pd 2.84-3.13, 2 Na 2.99, 2 Pt 3.09
Pd  0.0000  0.1580  0.7500 (multiplicity 4)  2 Pt 2.67, 4 Na 2.84-2.96
Pt  0.0000  0.5000  0.0000 (multiplicity 4)  2 Pt 2.62, 2 Pd 2.67

***

First-principles (GGA-PBE) data for an optimized crystal structure of Tm2RhSe, as listed in the Alexandria database.

Results
Density of states at the Fermi level   1.54 states/eV/f.u.
Total magnetization   0.000 μB/atom
E_form (uncorrected)   -1.15 eV/atom
Energy relative to the lowest polymorph listed for this composition   0.082 eV/atom
Volume   84 Å³/cell

Cell: 3.4344 3.4344 7.1333 Å, 90.00 90.00 90.00°
Last column: nearest neighbours and their distance in Å.
Space group P4/mmm (No. 123)
Asymmetric unit:
Tm  0.0000  0.0000  0.2327 (multiplicity 2)  4 Rh 2.94, 4 Se 3.09
Rh  0.5000  0.5000  0.0000 (multiplicity 1)  8 Tm 2.94
Se  0.5000  0.5000  0.5000 (multiplicity 1)  8 Tm 3.09, 4 Se 3.43

***

First-principles (GGA-PBE) data for an optimized crystal structure of LaErGaPd, as listed in the Alexandria database.

Results
Density of states at the Fermi level   2.50 states/eV/f.u.
Total magnetization   0.000 μB/atom
E_form   -0.6947 eV per atom
Energy relative to the lowest polymorph listed for this composition   0.000 eV/atom
Volume   199 Å³/cell

Cell: 4.4640 4.2896 10.4040 Å, 90.00 90.00 90.00°
Last column: nearest neighbours and their distance in Å.
Space group Amm2 (No. 38)
Asymmetric unit:
La  0.0000  0.0000  0.0000 (multiplicity 2)  3 Pd 2.88-3.16, 4 Ga 3.20
Er  0.5000  0.0000  0.7170 (multiplicity 2)  3 Ga 3.02-3.08, 4 Pd 3.16
Ga  0.5000  0.0000  0.4208 (multiplicity 2)  2 Pd 2.69
Pd  0.0000  0.0000  0.2764 (multiplicity 2)  2 Ga 2.69, 1 La 2.88

***

First-principles (GGA-PBE) data for an optimized crystal structure of YAlGa2Ni4, as listed in the Alexandria database.

Results
Density of states at the Fermi level   3.60 states/eV/f.u.
Total magnetization   0.000 μB/atom
E_form   -0.5080 eV per atom
Volume   350 Å³/cell

Cell: 4.0744 4.0744 24.3548 Å, 90.00 90.00 120.00°
Last column: nearest neighbours and their distance in Å.
Space group R-3m (No. 166, hexagonal axes)
Asymmetric unit:
Y  0.0000  0.0000  0.0000 (multiplicity 3)  8 Ni 2.92-3.25, 6 Ga 3.23
Al  0.0000  0.0000  0.5000 (multiplicity 3)  8 Ni 2.33-2.49
Ga  0.0000  0.0000  0.2422 (multiplicity 6)  7 Ni 2.40-2.65
Ni  0.0000  0.0000  0.1334 (multiplicity 6)  3 Al 2.49, 4 Ga 2.57-2.65
Ni  0.0000  0.0000  0.4044 (multiplicity 6)  1 Al 2.33, 3 Ga 2.40

***

First-principles (GGA-PBE) data for an optimized crystal structure of Tb12Nd7Dy, as listed in the Alexandria database.

Results
Density of states at the Fermi level   37.06 states/eV/f.u.
Total magnetization   0.000 μB/atom
E_form   0.2296 eV per atom
Energy relative to the lowest polymorph listed for this composition   0.000 eV/atom
Volume   2046 Å³/cell

Cell: 12.0487 12.0487 16.2778 Å, 90.00 90.00 120.00°
Last column: nearest neighbours and their distance in Å.
Space group R-3 (No. 148, hexagonal axes)
Asymmetric unit:
Tb  0.0263  0.5766  0.2228 (multiplicity 18)  4 Tb 3.28-3.64, 1 Dy 3.42, 2 Nd 3.52-3.62
Tb  0.0522  0.4660  0.5824 (multiplicity 18)  4 Tb 3.24-3.45, 2 Nd 3.32-3.51
Nd  0.0000  0.0000  0.0000 (multiplicity 3)  6 Tb 3.32
Nd  0.0567  0.8691  0.2889 (multiplicity 18)  3 Nd 3.48, 7 Tb 3.51-3.84
Dy  0.0000  0.0000  0.5000 (multiplicity 3)  6 Tb 3.42

***

First-principles (GGA-PBE) data for an optimized crystal structure of TaTlW, as listed in the Alexandria database.

Results
Density of states at the Fermi level   1.49 states/eV/f.u.
Total magnetization   0.000 μB/atom
E_form   0.5176 eV per atom
Energy relative to the lowest polymorph listed for this composition   0.151 eV/atom
Volume   236 Å³/cell

Cell: 3.2970 5.0536 14.1874 Å, 90.00 90.00 90.00°
Last column: nearest neighbours and their distance in Å.
Space group Fmm2 (No. 42)
Asymmetric unit:
Ta  0.0000  0.0000  0.0000 (multiplicity 4)  2 W 2.62
Tl  0.0000  0.0000  0.6807 (multiplicity 4)  2 W 2.99, 6 Tl 3.02-3.30, 2 Ta 3.05
W  0.0000  0.0000  0.3569 (multiplicity 4)  2 Ta 2.62

***

First-principles (GGA-PBE) data for an optimized crystal structure of PrTl2S4, as listed in the Alexandria database.

Results
Density of states at the Fermi level   3.10 states/eV/f.u.
Total magnetization   0.000 μB/atom
E_form (uncorrected)   -0.79 eV/atom
Volume   752 Å³/cell

Cell: 4.1842 14.0488 12.7866 Å, 90.00 90.00 90.00°
Last column: nearest neighbours and their distance in Å.
Space group Cmcm (No. 63)
Asymmetric unit:
Pr  0.0000  0.0735  0.2500 (multiplicity 4)  6 S 2.81-2.96
Tl  0.0000  0.3654  0.0547 (multiplicity 8)  4 S 2.71-2.98
S  0.0000  0.0000  0.0000 (multiplicity 4)  4 Tl 2.91
S  0.0000  0.2983  0.6665 (multiplicity 8)  1 S 2.14
S  0.0000  0.4398  0.2500 (multiplicity 4)  2 Tl 2.71, 2 Pr 2.81

***

First-principles (GGA-PBE) data for an optimized crystal structure of CsTl2Ga2, as listed in the Alexandria database.

Results
Density of states at the Fermi level   2.34 states/eV/f.u.
Total magnetization   0.000 μB/atom
E_form   -0.0426 eV per atom
Energy relative to the lowest polymorph listed for this composition   0.000 eV/atom
Volume   313 Å³/cell

Cell: 5.1209 5.1209 11.9262 Å, 90.00 90.00 90.00°
Last column: nearest neighbours and their distance in Å.
Space group I4/mmm (No. 139)
Asymmetric unit:
Cs  0.0000  0.0000  0.0000 (multiplicity 2)  8 Ga 3.86, 8 Tl 3.93
Tl  0.0000  0.5000  0.2500 (multiplicity 4)  4 Ga 3.04
Ga  0.0000  0.0000  0.3876 (multiplicity 4)  1 Ga 2.68

***

First-principles (GGA-PBE) data for an optimized crystal structure of Cr2PtBr, as listed in the Alexandria database.

Results
Density of states at the Fermi level   3.83 states/eV/f.u.
Total magnetization   2.146 μB/atom
E_form (uncorrected)   0.39 eV/atom
Energy relative to the lowest polymorph listed for this composition   0.239 eV/atom
Volume   71 Å³/cell

Cell: 4.7969 4.7969 3.0688 Å, 90.00 90.00 90.00°
Last column: nearest neighbours and their distance in Å.
Space group P4/mmm (No. 123)
Asymmetric unit:
Cr  0.0000  0.5000  0.0000 (multiplicity 2)  4 Br 2.85, 4 Pt 2.85, 2 Cr 3.07
Pt  0.0000  0.0000  0.5000 (multiplicity 1)  8 Cr 2.85, 2 Pt 3.07
Br  0.5000  0.5000  0.5000 (multiplicity 1)  8 Cr 2.85, 2 Br 3.07

***

First-principles (GGA-PBE) data for an optimized crystal structure of CaCr2P, as listed in the Alexandria database.

Results
Density of states at the Fermi level   3.43 states/eV/f.u.
Total magnetization   0.206 μB/atom
E_form   0.0151 eV per atom
Volume   70 Å³/cell

Cell: 3.2166 3.2166 6.7255 Å, 90.00 90.00 90.00°
Last column: nearest neighbours and their distance in Å.
Space group P4mm (No. 99)
Asymmetric unit:
Ca  0.0000  0.0000  0.0000 (multiplicity 1)  4 P 3.01, 5 Cr 3.13-3.28, 4 Ca 3.22
Cr  0.0000  0.0000  0.5350 (multiplicity 1)  4 P 2.55, 4 Cr 2.59
Cr  0.5000  0.5000  0.3507 (multiplicity 1)  1 P 2.40, 4 Cr 2.59
P  0.5000  0.5000  0.7079 (multiplicity 1)  5 Cr 2.40-2.55

***

First-principles (GGA-PBE) data for an optimized crystal structure of SmCdH, as listed in the Alexandria database.

Results
Density of states at the Fermi level   0.87 states/eV/f.u.
Total magnetization   0.000 μB/atom
Energy relative to the lowest polymorph listed for this composition   0.000 eV/atom
Volume   234 Å³/cell

Cell: 3.6390 3.6390 17.6668 Å, 90.00 90.00 90.00°
Last column: nearest neighbours and their distance in Å.
Space group I4/mmm (No. 139)
Asymmetric unit:
Sm  0.0000  0.0000  0.0913 (multiplicity 4)  4 H 2.43
Cd  0.0000  0.0000  0.2949 (multiplicity 4)  4 Cd 3.02, 4 Sm 3.27
H  0.0000  0.5000  0.0000 (multiplicity 4)  4 Sm 2.43, 4 H 2.57

***

First-principles (GGA-PBE) data for an optimized crystal structure of Ca5NpS6, as listed in the Alexandria database.

Results
Density of states at the Fermi level   11.56 states/eV/f.u.
Total magnetization   0.392 μB/atom
E_form (uncorrected)   -1.94 eV/atom
Volume   556 Å³/cell

Cell: 6.9835 12.1036 6.9840 Å, 90.00 109.50 90.00°
Last column: nearest neighbours and their distance in Å.
Space group C2/m (No. 12)
Asymmetric unit:
Ca  0.0000  0.0000  0.0000 (multiplicity 2)  6 S 2.85-2.87
Ca  0.0000  0.1660  0.5000 (multiplicity 4)  6 S 2.85-2.86
Ca  0.0000  0.3320  0.0000 (multiplicity 4)  6 S 2.85-2.86
Np  0.0000  0.5000  0.5000 (multiplicity 2)  6 S 2.83
S  0.2473  0.5000  0.2514 (multiplicity 4)  1 Np 2.83, 5 Ca 2.85-2.87
S  0.2486  0.3344  0.7489 (multiplicity 8)  1 Np 2.83, 5 Ca 2.85-2.86

***

First-principles (GGA-PBE) data for an optimized crystal structure of Mn2InIr, as listed in the Alexandria database.

Results
Density of states at the Fermi level   4.09 states/eV/f.u.
Total magnetization   1.430 μB/atom
E_form   0.2846 eV per atom
Volume   188 Å³/cell

Cell: 2.8889 2.8889 25.9796 Å, 90.00 90.00 120.00°
Last column: nearest neighbours and their distance in Å.
Space group R3m (No. 160, hexagonal axes)
Asymmetric unit:
Mn  0.0000  0.0000  0.0000 (multiplicity 3)  9 Mn 2.62-2.89, 3 In 2.87
Mn  0.0000  0.0000  0.2557 (multiplicity 3)  3 Ir 2.56, 3 Mn 2.62
In  0.0000  0.0000  0.7566 (multiplicity 3)  3 Mn 2.87, 6 In 2.89, 3 Ir 2.90
Ir  0.0000  0.0000  0.5144 (multiplicity 3)  3 Mn 2.56

***

First-principles (GGA-PBE) data for an optimized crystal structure of PmPaSbTe, as listed in the Alexandria database.

Results
Density of states at the Fermi level   4.42 states/eV/f.u.
Total magnetization   0.361 μB/atom
E_form (uncorrected)   -0.79 eV/atom
Volume   436 Å³/cell

Cell: 7.5819 7.5819 7.5819 Å, 90.00 90.00 90.00°
Last column: nearest neighbours and their distance in Å.
Space group F-43m (No. 216)
Asymmetric unit:
Pm  0.0000  0.0000  0.0000 (multiplicity 4)  4 Sb 3.28, 4 Te 3.28
Pa  0.0000  0.0000  0.5000 (multiplicity 4)  4 Te 3.28, 4 Sb 3.28
Sb  0.2500  0.2500  0.2500 (multiplicity 4)  4 Pa 3.28, 4 Pm 3.28
Te  0.2500  0.2500  0.7500 (multiplicity 4)  4 Pm 3.28, 4 Pa 3.28

***

First-principles (GGA-PBE) data for an optimized crystal structure of PRuWAu2, as listed in the Alexandria database.

Results
Density of states at the Fermi level   5.61 states/eV/f.u.
Total magnetization   0.543 μB/atom
E_form   1.1627 eV per atom
Volume   94 Å³/cell

Cell: 4.6357 4.6357 4.3745 Å, 90.00 90.00 90.00°
Last column: nearest neighbours and their distance in Å.
Space group P4/mmm (No. 123)
Asymmetric unit:
P  0.0000  0.0000  0.0000 (multiplicity 1)  2 Ru 2.19, 4 Au 2.32
Ru  0.0000  0.0000  0.5000 (multiplicity 1)  2 P 2.19
W  0.5000  0.5000  0.5000 (multiplicity 1)  8 Au 3.19, 4 Ru 3.28
Au  0.0000  0.5000  0.0000 (multiplicity 2)  2 P 2.32

***

First-principles (GGA-PBE) data for an optimized crystal structure of LaSc2Ge, as listed in the Alexandria database.

Results
Density of states at the Fermi level   8.21 states/eV/f.u.
Total magnetization   0.000 μB/atom
E_form   -0.0926 eV per atom
Volume   437 Å³/cell

Cell: 8.3698 8.3698 6.2373 Å, 90.00 90.00 90.00°
Last column: nearest neighbours and their distance in Å.
Space group I-42d (No. 122)
Asymmetric unit:
La  0.0000  0.0000  0.0000 (multiplicity 4)  2 Ge 3.12, 4 Sc 3.44
Sc  0.1873  0.2500  0.6250 (multiplicity 8)  2 Ge 2.73
Ge  0.0000  0.0000  0.5000 (multiplicity 4)  4 Sc 2.73